(1)
This record from Alexandria via LeMat-Bulk describes a relaxed Pr8SmTm3 crystal. The functional is PBE-GGA.

Values from the calculation:
- Mass density: 7.14 Mg/m³
- DFT formation energy: 0.2 eV/f.u.

abc: 6.371 7.344 9.121
angles: 101.69 96.74 90.00
Element x y z (fractional)
Pr: 0.000 0.000 0.000
Pr: 0.000 0.496 0.001
Pr: 0.279 0.923 0.667
Pr: 0.283 0.417 0.669
Pr: 0.393 0.086 0.335
Pr: 0.505 0.752 0.004
Pr: 0.777 0.669 0.664
Pr: 0.888 0.332 0.334
Sm: 0.388 0.584 0.330
Tm: 0.502 0.251 0.002
Tm: 0.776 0.166 0.665
Tm: 0.890 0.836 0.337

(2)
This record from Alexandria via LeMat-Bulk describes a relaxed Tl12Se5Cl crystal. The functional is PBE-GGA.

Values from the calculation:
- Mass density: 7.76 Mg/m³
- Formation energy from raw total energies: -7.04 eV per formula unit

abc: 7.604 7.604 12.571
angles: 95.91 95.91 119.86
Element x y z (fractional)
Tl: 0.047 0.380 0.138
Tl: 0.106 0.106 0.354
Tl: 0.203 0.549 0.646
Tl: 0.287 0.287 0.861
Tl: 0.380 0.047 0.138
Tl: 0.451 0.797 0.354
Tl: 0.549 0.203 0.646
Tl: 0.620 0.953 0.862
Tl: 0.713 0.713 0.139
Tl: 0.797 0.451 0.354
Tl: 0.894 0.894 0.646
Tl: 0.953 0.620 0.862
Se: 0.000 0.000 0.000
Se: 0.167 0.833 0.500
Se: 0.335 0.665 0.000
Se: 0.665 0.335 0.000
Se: 0.833 0.167 0.500
Cl: 0.500 0.500 0.500

Number 1: electronic total energy -4.68 eV/atom, total magnetic moment 0.000 μB per atom. Number 2: electronic total energy -3.04 eV/atom, total magnetic moment 0.000 μB per atom.